## Li4Mn3CoO8 (PBE+U)

Data for crystalline Li4Mn3CoO8 at its relaxed geometry.

a = 10.7419 Å, b = 5.7107 Å, c = 5.4450 Å
α = 90.00°, β = 114.71°, γ = 90.00°
Last column: nearest neighbours and their distance in Å.
Space group C2/m (No. 12)
Inequivalent atoms, fractional coordinates:
Li 0.2483 0.0000 0.4872 (multiplicity 4)  6 O 2.09-2.32
Li 0.2500 0.2500 0.0000 (multiplicity 4)  6 O 2.13-2.25
Mn 0.0000 0.2490 0.5000 (multiplicity 4)  4 O 1.96
Mn 0.0000 0.5000 0.0000 (multiplicity 2)  4 O 1.96
Co 0.0000 0.0000 0.0000 (multiplicity 2)  4 O 1.93
O 0.1151 0.0000 0.7303 (multiplicity 4)  2 Mn 1.96, 2 Li 2.13
O 0.1148 0.2465 0.2236 (multiplicity 8)  1 Co 1.93, 1 Mn 1.96, 1 Li 2.09
O 0.1166 0.5000 0.7250 (multiplicity 4)  2 Mn 1.96, 2 Li 2.13

Calculated values
The value obtained for the offset from the most stable computed form is 0.071 eV/f.u. The total energy is -0.4676 Ry/atom. For the volume, the calculation gives 9.48 Å³/atom.